*P*
## Nd4Sm2Dy (GGA-PBE)

Data for a relaxed Nd4Sm2Dy crystal.

Cell lengths 7.0554, 7.0667, 10.5008 Å; angles 90.00, 90.00, 72.55 degrees
Last column: nearest neighbours and their distance in Å.
Space group P-1 (No. 2)
Inequivalent atoms, fractional coordinates:
Nd 0.1892 0.2691 0.2164  2 Sm 3.33-3.48, 1 Dy 3.47, 5 Nd 3.55-3.72
Nd 0.1897 0.2677 0.7832  2 Sm 3.33-3.47, 1 Dy 3.47, 5 Nd 3.55-3.72
Nd 0.3092 0.7296 0.2873  1 Dy 3.30, 2 Sm 3.46-3.50, 4 Nd 3.53-3.68
Nd 0.3096 0.7282 0.7122  1 Dy 3.30, 2 Sm 3.47-3.50, 4 Nd 3.53-3.68
Sm 0.0000 0.0000 0.0000  8 Nd 3.47-3.88, 2 Sm 3.53
Sm 0.5000 0.0000 0.0000  4 Nd 3.33, 4 Sm 3.53
Sm 0.5000 0.0000 0.5000  8 Nd 3.46-3.85, 2 Dy 3.53
Sm 0.5000 0.5000 0.0000  8 Nd 3.50-3.85, 2 Sm 3.53
Dy 0.0000 0.0000 0.5000  4 Nd 3.30, 2 Sm 3.53, 2 Dy 3.53
Dy 0.0000 0.5000 0.5000  8 Nd 3.47-3.81, 2 Dy 3.53

---

*Q*
## Nd4Sm2Dy (GGA-PBE)

Data for a relaxed Nd4Sm2Dy crystal.

Cell lengths 6.1816, 13.1484, 6.0356 Å; angles 90.00, 90.00, 90.00 degrees
Last column: nearest neighbours and their distance in Å.
Space group Cmmm (No. 65)
Inequivalent atoms, fractional coordinates:
Nd 0.0000 0.1375 0.0000  3 Sm 3.11-3.33
Nd 0.0000 0.3089 0.5000  2 Sm 3.20, 2 Nd 3.46
Sm 0.0000 0.3904 0.0000  1 Sm 2.88, 4 Nd 3.11-3.20
Dy 0.0000 0.0000 0.5000  4 Nd 3.52

---

Which one sits at the bottom of the stability order? *Q* does.

---

*P*
## Nd3Sm5Dy4 (GGA-PBE)

Data for a relaxed Nd3Sm5Dy4 crystal.

Cell lengths 16.2119, 5.9929, 9.3470 Å; angles 90.00, 116.07, 90.00 degrees
Last column: nearest neighbours and their distance in Å.
Space group C2/m (No. 12)
Inequivalent atoms, fractional coordinates:
Nd 0.0000 0.0000 0.0000  2 Sm 3.00
Nd 0.2080 0.5000 0.2278  3 Sm 3.10-3.27, 2 Dy 3.31-3.43
Sm 0.0000 0.5000 0.0000  4 Nd 3.00-3.10
Sm 0.0752 0.0000 0.6983  2 Nd 3.27-3.53, 1 Sm 3.43, 2 Dy 3.66
Sm 0.1730 0.0000 0.3877  4 Nd 3.25-3.50, 3 Dy 3.48-3.58
Dy 0.0817 0.5000 0.4417  2 Dy 3.28-3.67, 1 Nd 3.43, 3 Sm 3.48-3.58
Dy 0.2113 0.5000 0.8767  3 Nd 3.31-3.57, 3 Dy 3.65-3.67, 3 Sm 3.66-3.70

---

*Q*
## Nd3Sm5Dy4 (GGA-PBE)

Data for a relaxed Nd3Sm5Dy4 crystal.

Cell lengths 6.2590, 7.2197, 8.8469 Å; angles 90.06, 90.07, 90.09 degrees
Last column: nearest neighbours and their distance in Å.
Space group P-1 (No. 2)
Inequivalent atoms, fractional coordinates:
Nd 0.0000 0.0000 0.0000  8 Sm 3.61-3.63, 2 Nd 3.63, 2 Dy 3.63
Nd 0.1661 0.7485 0.6652  6 Dy 3.58-3.64, 5 Sm 3.60-3.63, 1 Nd 3.63
Sm 0.0000 0.5000 0.0000  4 Sm 3.60-3.61, 4 Nd 3.61-3.62, 4 Dy 3.61-3.62
Sm 0.3336 0.9999 0.3344  3 Sm 3.59-3.63, 4 Nd 3.60-3.62, 5 Dy 3.60-3.62
Sm 0.4988 0.2519 0.9997  6 Sm 3.58-3.64, 3 Dy 3.61, 3 Nd 3.61-3.63
Dy 0.1677 0.2520 0.6656  4 Nd 3.58-3.64, 3 Dy 3.59-3.62, 5 Sm 3.60-3.62
Dy 0.3339 0.5001 0.3345  3 Nd 3.59-3.61, 4 Dy 3.59-3.62, 5 Sm 3.61-3.62

---

Which one sits at the bottom of the stability order? *P* does.

---

*P*
## Nd12SmDy6 (GGA-PBE)

Data for a relaxed Nd12SmDy6 crystal.

Cell lengths 12.1816, 12.1816, 15.3636 Å; angles 90.00, 90.00, 120.00 degrees
Last column: nearest neighbours and their distance in Å.
Space group R-3 (No. 148, hexagonal axes)
Inequivalent atoms, fractional coordinates:
Nd 0.0043 0.8297 0.1918  4 Nd 3.48-3.64, 4 Dy 3.56-3.73, 1 Sm 3.62
Nd 0.0468 0.8496 0.4166  4 Nd 3.36-3.63, 3 Dy 3.37-3.52
Sm 0.0000 0.0000 0.0000  6 Dy 3.51, 6 Nd 3.62
Dy 0.0148 0.4273 0.6861  7 Nd 3.37-3.73, 1 Sm 3.51, 2 Dy 3.55

---

*Q*
## Nd12SmDy6 (GGA-PBE)

Data for a relaxed Nd12SmDy6 crystal.

Cell lengths 14.8971, 14.8971, 10.5039 Å; angles 90.00, 90.00, 120.00 degrees
Last column: nearest neighbours and their distance in Å.
Space group R-3 (No. 148, hexagonal axes)
Inequivalent atoms, fractional coordinates:
Nd 0.0546 0.8011 0.0800  5 Dy 3.42-3.68, 3 Nd 3.43-3.59, 1 Sm 3.54
Nd 0.0640 0.8389 0.4183  3 Dy 3.37-3.60, 6 Nd 3.43-3.62
Sm 0.0000 0.0000 0.0000  6 Nd 3.54, 6 Dy 3.86
Dy 0.0507 0.8352 0.7588  8 Nd 3.37-3.68

---

Which one sits at the bottom of the stability order? *Q* does.

---

*P*
## NdSm6Dy4 (GGA-PBE)

Data for a relaxed NdSm6Dy4 crystal.

Cell lengths 7.5972, 7.5972, 13.4331 Å; angles 90.00, 90.00, 90.00 degrees
Last column: nearest neighbours and their distance in Å.
Space group I-42m (No. 121)
Inequivalent atoms, fractional coordinates:
Nd 0.0000 0.0000 0.0000  8 Sm 3.55-3.80, 4 Dy 3.76
Sm 0.0000 0.5000 0.0000  4 Dy 3.03
Sm 0.2329 0.2329 0.1874  1 Dy 3.22, 1 Nd 3.55
Dy 0.1643 0.1643 0.4207  3 Sm 3.03-3.22, 2 Dy 3.28

---

*Q*
## NdSm6Dy4 (GGA-PBE)

Data for a relaxed NdSm6Dy4 crystal.

Cell lengths 5.8609, 9.6657, 25.7950 Å; angles 90.00, 90.00, 90.00 degrees
Last column: nearest neighbours and their distance in Å.
Space group Cmcm (No. 63)
Inequivalent atoms, fractional coordinates:
Nd 0.0000 0.2148 0.2500  3 Sm 3.27-3.32
Sm 0.0000 0.1189 0.6810  4 Dy 3.55-3.67, 7 Sm 3.56-3.97, 3 Nd 3.68-3.79
Sm 0.0000 0.2043 0.1008  6 Dy 3.34-3.72
Sm 0.0000 0.4466 0.7500  3 Nd 3.27-3.32, 2 Dy 3.29, 2 Sm 3.63
Sm 0.0000 0.5000 0.0000  8 Dy 3.20-3.58
Dy 0.0000 0.1481 0.5432  8 Sm 3.45-3.75, 2 Dy 3.58-3.63
Dy 0.0000 0.4514 0.6226  6 Sm 3.20-3.55, 1 Dy 3.58

---

Which one sits at the bottom of the stability order? *P* does.

---

*P*
## Nd6SmDy12 (GGA-PBE)

Data for a relaxed Nd6SmDy12 crystal.

Cell lengths 11.1376, 11.1376, 17.5715 Å; angles 90.00, 90.00, 120.00 degrees
Last column: nearest neighbours and their distance in Å.
Space group R-3m (No. 166, hexagonal axes)
Inequivalent atoms, fractional coordinates:
Nd 0.0702 0.5351 0.2660  1 Sm 3.08, 3 Dy 3.34-3.40
Sm 0.0000 0.0000 0.5000  6 Nd 3.08
Dy 0.1021 0.5511 0.9138  7 Dy 3.48-3.86, 5 Nd 3.57-3.68
Dy 0.1062 0.2124 0.9090  3 Nd 3.34-3.40, 5 Dy 3.48-3.55

---

*Q*
## Nd6SmDy12 (GGA-PBE)

Data for a relaxed Nd6SmDy12 crystal.

Cell lengths 13.3099, 13.3099, 12.6596 Å; angles 90.00, 90.00, 120.00 degrees
Last column: nearest neighbours and their distance in Å.
Space group R-3m (No. 166, hexagonal axes)
Inequivalent atoms, fractional coordinates:
Nd 0.0387 0.5194 0.1171  1 Nd 3.10, 1 Sm 3.45
Sm 0.0000 0.0000 0.5000  6 Nd 3.45
Dy 0.0000 0.2570 0.0000  6 Dy 3.36-3.54, 4 Nd 3.49-3.59
Dy 0.0914 0.1828 0.7644  6 Dy 3.36-3.65, 2 Nd 3.72

---

Which one sits at the bottom of the stability order? *Q* does.

---

*P*
## Nd2SmDy9 (GGA-PBE)

Data for a relaxed Nd2SmDy9 crystal.

Cell lengths 11.3034, 11.3034, 3.5093 Å; angles 90.00, 90.00, 120.00 degrees
Last column: nearest neighbours and their distance in Å.
Space group P6/mmm (No. 191)
Inequivalent atoms, fractional coordinates:
Nd 0.3333 0.6667 0.0000  9 Dy 3.26-3.57, 2 Nd 3.51
Sm 0.0000 0.0000 0.0000  2 Sm 3.51, 12 Dy 3.84
Dy 0.0000 0.5000 0.0000  2 Nd 3.26, 10 Dy 3.51-3.64
Dy 0.1746 0.3492 0.5000  8 Dy 3.42-3.64, 2 Nd 3.57

---

*Q*
## Nd2SmDy9 (GGA-PBE)

Data for a relaxed Nd2SmDy9 crystal.

Cell lengths 5.0499, 5.0499, 15.1511 Å; angles 90.00, 90.00, 90.00 degrees
Last column: nearest neighbours and their distance in Å.
Space group P4/mmm (No. 123)
Inequivalent atoms, fractional coordinates:
Nd 0.0000 0.0000 0.1669  12 Dy 3.57-3.58
Sm 0.0000 0.0000 0.5000  12 Dy 3.56-3.57
Dy 0.0000 0.5000 0.0000  8 Dy 3.57-3.58, 4 Nd 3.57
Dy 0.0000 0.5000 0.3341  8 Dy 3.56-3.57, 2 Sm 3.56, 2 Nd 3.58
Dy 0.5000 0.5000 0.1671  4 Nd 3.57, 8 Dy 3.57-3.58
Dy 0.5000 0.5000 0.5000  8 Dy 3.56, 4 Sm 3.57

---

Which one sits at the bottom of the stability order? *P* does.

---

*P*
## NdSm4Dy7 (GGA-PBE)

Data for a relaxed NdSm4Dy7 crystal.

Cell lengths 12.1271, 5.9232, 12.7461 Å; angles 90.00, 118.03, 90.00 degrees
Last column: nearest neighbours and their distance in Å.
Space group C2/m (No. 12)
Inequivalent atoms, fractional coordinates:
Nd 0.0000 0.0000 0.0000  4 Dy 2.96-3.14
Sm 0.1349 0.5000 0.7762  7 Dy 3.39-3.65, 2 Sm 3.67
Sm 0.2373 0.0000 0.6758  5 Dy 3.28-3.66, 2 Sm 3.67
Dy 0.0000 0.5000 0.0000  2 Nd 2.96, 2 Dy 3.17
Dy 0.0640 0.0000 0.3229  4 Dy 3.29-3.57, 3 Sm 3.65-3.66
Dy 0.1324 0.5000 0.4992  4 Dy 3.22-3.57, 5 Sm 3.28-3.57
Dy 0.2108 0.0000 0.9227  1 Nd 3.14, 4 Dy 3.17-3.43, 4 Sm 3.31-3.39

---

*Q*
## NdSm4Dy7 (GGA-PBE)

Data for a relaxed NdSm4Dy7 crystal.

Cell lengths 6.5617, 6.8556, 9.1029 Å; angles 85.32, 76.98, 81.88 degrees
Last column: nearest neighbours and their distance in Å.
Space group P-1 (No. 2)
Inequivalent atoms, fractional coordinates:
Nd 0.0000 0.0000 0.0000  2 Sm 3.41, 4 Dy 3.43-3.51
Sm 0.1633 0.6121 0.3110  7 Dy 3.42-3.71, 2 Sm 3.52-3.56
Sm 0.3608 0.1934 0.7149  8 Dy 3.33-3.72, 1 Nd 3.41, 2 Sm 3.52-3.56
Dy 0.0000 0.5000 0.0000  4 Sm 3.42-3.67, 2 Nd 3.43, 4 Dy 3.50-3.73
Dy 0.1903 0.1039 0.3866  5 Dy 3.28-3.62, 4 Sm 3.33-3.54
Dy 0.3176 0.6991 0.6410  5 Dy 3.40-3.73, 4 Sm 3.46-3.57
Dy 0.4853 0.2506 0.0512  5 Dy 3.39-3.60, 4 Sm 3.41-3.72, 1 Nd 3.51

---

Which one sits at the bottom of the stability order? *P* does.

---

*P*
## Nd4Sm3Dy2 (GGA-PBE)

Data for a relaxed Nd4Sm3Dy2 crystal.

Cell lengths 3.6368, 3.6368, 27.0297 Å; angles 90.00, 90.00, 120.00 degrees
Last column: nearest neighbours and their distance in Å.
Space group P3m1 (No. 156)
Inequivalent atoms, fractional coordinates:
Nd 0.0000 0.0000 0.0000  1 Dy 3.43, 3 Sm 3.58, 6 Nd 3.64
Nd 0.0000 0.0000 0.2198  9 Nd 3.64-3.68, 3 Sm 3.69
Nd 0.3333 0.6667 0.3317  9 Nd 3.64-3.68, 3 Sm 3.65
Nd 0.3333 0.6667 0.5540  3 Dy 3.57, 6 Nd 3.64, 3 Sm 3.68
Sm 0.0000 0.0000 0.4424  6 Sm 3.64, 6 Nd 3.65-3.68
Sm 0.3333 0.6667 0.1074  6 Nd 3.58-3.69, 6 Sm 3.64
Sm 0.3333 0.6667 0.7691  6 Dy 3.50-3.60, 6 Sm 3.64
Dy 0.0000 0.0000 0.6610  3 Nd 3.57, 3 Sm 3.60, 6 Dy 3.64
Dy 0.0000 0.0000 0.8729  1 Nd 3.43, 3 Sm 3.50, 6 Dy 3.64

---

*Q*
## Nd4Sm3Dy2 (GGA-PBE)

Data for a relaxed Nd4Sm3Dy2 crystal.

Cell lengths 12.0115, 3.6397, 14.9719 Å; angles 90.00, 111.46, 90.00 degrees
Last column: nearest neighbours and their distance in Å.
Space group C2/m (No. 12)
Inequivalent atoms, fractional coordinates:
Nd 0.1674 0.0000 0.1670  5 Sm 3.61-3.65, 3 Dy 3.62-3.63, 4 Nd 3.63-3.64
Nd 0.2213 0.5000 0.3885  3 Dy 3.62-3.63, 3 Sm 3.62-3.64, 6 Nd 3.63-3.64
Sm 0.0000 0.5000 0.5000  6 Nd 3.62-3.64, 4 Dy 3.63, 2 Sm 3.64
Sm 0.1111 0.5000 0.9436  5 Nd 3.61-3.65, 2 Dy 3.62, 5 Sm 3.63-3.64
Dy 0.0558 0.0000 0.7223  6 Nd 3.62-3.63, 4 Sm 3.62-3.63, 2 Dy 3.64

---

Which one sits at the bottom of the stability order? *P* does.

---

*P*
## Nd7SmDy12 (GGA-PBE)

Data for a relaxed Nd7SmDy12 crystal.

Cell lengths 12.0300, 12.0300, 16.2701 Å; angles 90.00, 90.00, 120.00 degrees
Last column: nearest neighbours and their distance in Å.
Space group R-3 (No. 148, hexagonal axes)
Inequivalent atoms, fractional coordinates:
Nd 0.0000 0.0000 0.0000  6 Dy 3.32
Nd 0.0551 0.1880 0.2894  3 Nd 3.48-3.49, 7 Dy 3.48-3.84
Sm 0.0000 0.0000 0.5000  6 Dy 3.44
Dy 0.0233 0.4478 0.2223  4 Dy 3.27-3.62, 1 Sm 3.44, 2 Nd 3.51-3.61
Dy 0.0511 0.5866 0.5826  5 Dy 3.24-3.62, 2 Nd 3.32-3.48

---

*Q*
## Nd7SmDy12 (GGA-PBE)

Data for a relaxed Nd7SmDy12 crystal.

Cell lengths 11.3435, 11.3435, 11.3435 Å; angles 90.00, 90.00, 90.00 degrees
Last column: nearest neighbours and their distance in Å.
Space group Im-3 (No. 204)
Inequivalent atoms, fractional coordinates:
Nd 0.0000 0.0000 0.5000  12 Dy 4.01-4.03
Nd 0.2500 0.2500 0.2500  6 Dy 2.84
Sm 0.0000 0.0000 0.0000  12 Dy 3.99
Dy 0.0000 0.2492 0.2485  2 Nd 2.84

---

Which one sits at the bottom of the stability order? *Q* does.